BaSbRh3Pb | PBE-GGA | relaxed

Cell: 8.8162 8.8162 6.1027 Å, 90.00 90.00 139.66°
Fractional coordinates of all 12 atoms:
Ba 0.2482 0.7518 0.7500
Ba 0.7518 0.2482 0.2500
Sb 0.4142 0.5858 0.2500
Sb 0.5858 0.4142 0.7500
Rh 0.2491 0.2491 0.0000
Rh 0.2491 0.2491 0.5000
Rh 0.2608 0.7392 0.2500
Rh 0.7392 0.2608 0.7500
Rh 0.7509 0.7509 0.0000
Rh 0.7509 0.7509 0.5000
Pb 0.0997 0.9003 0.2500
Pb 0.9003 0.0997 0.7500

Results
- E: -0.4117 Ry per atom
- Energy relative to the elements, uncorrected: -0.2997 eV per atom
- V: 307 Å³/cell
- DOS(E_F): 1.25 states/eV/f.u.

K4MgCo | PBE-GGA | relaxed

Cell: 7.4511 7.4511 7.4511 Å, 60.00 60.00 60.00°
Fractional coordinates of all 6 atoms:
K 0.1254 0.1254 0.1254
K 0.1254 0.1254 0.6237
K 0.1254 0.6237 0.1254
K 0.6237 0.1254 0.1254
Mg 0.7500 0.7500 0.7500
Co 0.5000 0.5000 0.5000

Results
- E: -0.0974 Ry per atom
- V: 293 Å³/cell
- Calculated formation energy: 857 meV per atom
- DOS(E_F): 9.66 states/eV/f.u.

Sr3Te12As5 | PBE-GGA | relaxed

Cell: 15.4600 15.4600 15.4600 Å, 109.47 109.47 109.47°
Fractional coordinates of all 80 atoms:
Sr 0.1250 0.2500 0.3750
Sr 0.1250 0.3750 0.7500
Sr 0.2500 0.3750 0.1250
Sr 0.2500 0.8750 0.6250
Sr 0.3750 0.1250 0.2500
Sr 0.3750 0.7500 0.1250
Sr 0.6250 0.2500 0.8750
Sr 0.6250 0.8750 0.7500
Sr 0.7500 0.1250 0.3750
Sr 0.7500 0.6250 0.8750
Sr 0.8750 0.6250 0.2500
Sr 0.8750 0.7500 0.6250
Te 0.0323 0.2061 0.1229
Te 0.0323 0.3262 0.9094
Te 0.0832 0.7061 0.6738
Te 0.0832 0.8771 0.4094
Te 0.0906 0.6229 0.4168
Te 0.0906 0.9677 0.6738
Te 0.1229 0.0323 0.2061
Te 0.1229 0.5906 0.9168
Te 0.1738 0.2061 0.5832
Te 0.1738 0.4677 0.5906
Te 0.2061 0.1229 0.0323
Te 0.2061 0.5832 0.1738
Te 0.2939 0.3262 0.9168
Te 0.2939 0.4677 0.3771
Te 0.3262 0.9094 0.0323
Te 0.3262 0.9168 0.2939
Te 0.3771 0.2939 0.4677
Te 0.3771 0.5832 0.9094
Te 0.4094 0.0832 0.8771
Te 0.4094 0.8262 0.5323
Te 0.4168 0.0906 0.6229
Te 0.4168 0.8262 0.7939
Te 0.4677 0.3771 0.2939
Te 0.4677 0.5906 0.1738
Te 0.5323 0.4094 0.8262
Te 0.5323 0.6229 0.7061
Te 0.5832 0.1738 0.2061
Te 0.5832 0.9094 0.3771
Te 0.5906 0.1738 0.4677
Te 0.5906 0.9168 0.1229
Te 0.6229 0.4168 0.0906
Te 0.6229 0.7061 0.5323
Te 0.6738 0.0832 0.7061
Te 0.6738 0.0906 0.9677
Te 0.7061 0.5323 0.6229
Te 0.7061 0.6738 0.0832
Te 0.7939 0.4168 0.8262
Te 0.7939 0.8771 0.9677
Te 0.8262 0.5323 0.4094
Te 0.8262 0.7939 0.4168
Te 0.8771 0.4094 0.0832
Te 0.8771 0.9677 0.7939
Te 0.9094 0.0323 0.3262
Te 0.9094 0.3771 0.5832
Te 0.9168 0.1229 0.5906
Te 0.9168 0.2939 0.3262
Te 0.9677 0.6738 0.0906
Te 0.9677 0.7939 0.8771
As 0.0000 0.0000 0.0000
As 0.0000 0.0000 0.5000
As 0.0000 0.5000 0.0000
As 0.0000 0.5000 0.5000
As 0.1250 0.7500 0.8750
As 0.1250 0.8750 0.2500
As 0.2500 0.1250 0.8750
As 0.2500 0.6250 0.3750
As 0.3750 0.2500 0.6250
As 0.3750 0.6250 0.7500
As 0.5000 0.0000 0.0000
As 0.5000 0.0000 0.5000
As 0.5000 0.5000 0.0000
As 0.5000 0.5000 0.5000
As 0.6250 0.3750 0.2500
As 0.6250 0.7500 0.3750
As 0.7500 0.3750 0.6250
As 0.7500 0.8750 0.1250
As 0.8750 0.1250 0.7500
As 0.8750 0.2500 0.1250

Results
- E: -0.2714 Ry per atom
- Energy relative to the elements, uncorrected: -0.3932 eV per atom
- V: 2845 Å³/cell
- DOS(E_F): 8.84 states/eV/f.u.

Hf3Pa2Ge4 | PBE-GGA | relaxed

Cell: 7.3901 7.3407 7.2384 Å, 90.00 110.17 90.00°
Fractional coordinates of all 18 atoms:
Hf 0.0000 0.0000 0.0000
Hf 0.0000 0.5000 0.5000
Hf 0.2530 0.1685 0.7556
Hf 0.2530 0.3315 0.2556
Hf 0.7470 0.6685 0.7444
Hf 0.7470 0.8315 0.2444
Pa 0.3111 0.6722 0.9390
Pa 0.3111 0.8278 0.4390
Pa 0.6889 0.1722 0.5610
Pa 0.6889 0.3278 0.0610
Ge 0.0041 0.6329 0.1336
Ge 0.0041 0.8671 0.6336
Ge 0.4145 0.0403 0.1498
Ge 0.4145 0.4597 0.6498
Ge 0.5855 0.5403 0.3502
Ge 0.5855 0.9597 0.8502
Ge 0.9959 0.1329 0.3664
Ge 0.9959 0.3671 0.8664

Results
- E: -0.5993 Ry per atom
- V: 369 Å³/cell
- Calculated formation energy: -673 meV per atom
- DOS(E_F): 7.81 states/eV/f.u.

La2Fe3Ge4 | PBE-GGA | relaxed

Cell: 8.0060 6.8100 5.6665 Å, 79.25 56.69 44.06°
Fractional coordinates of all 9 atoms:
La 0.1389 0.1389 0.8611
La 0.8611 0.8611 0.1389
Fe 0.0000 0.0000 0.5000
Fe 0.5000 0.5000 0.0000
Fe 0.5000 0.5000 0.5000
Ge 0.1707 0.5267 0.4733
Ge 0.4733 0.8293 0.1707
Ge 0.5267 0.1707 0.8293
Ge 0.8293 0.4733 0.5267

Results
- E: -0.4643 Ry per atom
- V: 168 Å³/cell
- Calculated formation energy: -350 meV per atom
- DOS(E_F): 7.80 states/eV/f.u.

SrHoInHg | PBE-GGA | relaxed

Cell: 3.8235 3.8235 7.9520 Å, 90.00 90.00 90.00°
Fractional coordinates of all 4 atoms:
Sr 0.0000 0.0000 0.0000
Ho 0.0000 0.0000 0.5140
In 0.5000 0.5000 0.2826
Hg 0.5000 0.5000 0.7224

Results
- E: -0.2059 Ry per atom
- V: 116 Å³/cell
- E above lowest polymorph: 0.0 meV/atom
- Calculated formation energy: -477 meV per atom
- DOS(E_F): 2.87 states/eV/f.u.

Pr7Rh5 | PBE-GGA | relaxed

Cell: 7.1172 7.1172 12.3644 Å, 104.79 104.79 32.95°
Fractional coordinates of all 12 atoms:
Pr 0.0000 0.0000 0.0000
Pr 0.1563 0.1563 0.5491
Pr 0.2428 0.2428 0.8583
Pr 0.4615 0.4615 0.7156
Pr 0.5385 0.5385 0.2844
Pr 0.7572 0.7572 0.1417
Pr 0.8437 0.8437 0.4509
Rh 0.1982 0.1982 0.3099
Rh 0.3840 0.3840 0.0765
Rh 0.5000 0.5000 0.5000
Rh 0.6160 0.6160 0.9235
Rh 0.8018 0.8018 0.6901

Results
- E: -0.4714 Ry per atom
- V: 328 Å³/cell
- Calculated formation energy: -563 meV per atom
- DOS(E_F): 7.74 states/eV/f.u.

HoNb2Ru2 | PBE-GGA | relaxed

Cell: 9.3561 9.3561 3.1733 Å, 90.00 90.00 160.58°
Fractional coordinates of all 5 atoms:
Ho 0.0000 0.0000 0.0000
Nb 0.1859 0.8141 0.0000
Nb 0.8141 0.1859 0.0000
Ru 0.3954 0.6046 0.5000
Ru 0.6046 0.3954 0.5000

Results
- E: -0.6406 Ry per atom
- V: 92 Å³/cell
- Calculated formation energy: -62 meV per atom
- DOS(E_F): 4.69 states/eV/f.u.

KTcNiSe3 | PBE-GGA | relaxed

Cell: 8.2659 3.7782 9.6330 Å, 90.00 115.28 90.00°
Fractional coordinates of all 12 atoms:
K 0.0113 0.2500 0.2639
K 0.9887 0.7500 0.7361
Tc 0.4738 0.2500 0.1784
Tc 0.5262 0.7500 0.8216
Ni 0.4804 0.7500 0.3958
Ni 0.5196 0.2500 0.6042
Se 0.2581 0.7500 0.1458
Se 0.3158 0.7500 0.5515
Se 0.3488 0.2500 0.8770
Se 0.6512 0.7500 0.1230
Se 0.6842 0.2500 0.4485
Se 0.7419 0.2500 0.8542

Results
- E: -0.3786 Ry per atom
- Energy relative to the elements, uncorrected: -0.5349 eV per atom
- V: 272 Å³/cell
- DOS(E_F): 4.16 states/eV/f.u.

LaIn2Se | PBE-GGA | relaxed

Cell: 5.7349 5.7349 5.6107 Å, 106.07 106.07 40.61°
Fractional coordinates of all 4 atoms:
La 0.0000 0.0000 0.0000
In 0.2054 0.2054 0.5932
In 0.4487 0.4487 0.4458
Se 0.7182 0.7182 0.9916

Results
- E: -0.3064 Ry per atom
- Energy relative to the elements, uncorrected: -0.6969 eV per atom
- V: 115 Å³/cell
- DOS(E_F): 1.99 states/eV/f.u.

NbTe2PbSe | PBE-GGA | relaxed

Cell: 5.7059 5.7059 5.4964 Å, 90.00 90.00 90.00°
Fractional coordinates of all 5 atoms:
Nb 0.0000 0.0000 0.0000
Te 0.0000 0.5000 0.5000
Te 0.5000 0.0000 0.5000
Pb 0.0000 0.0000 0.5000
Se 0.5000 0.5000 0.0000

Results
- E: -0.2391 Ry per atom
- Energy relative to the elements, uncorrected: 1.4564 eV per atom
- V: 179 Å³/cell
- E above lowest polymorph: 519.2 meV/atom
- DOS(E_F): 9.83 states/eV/f.u.

LaScRhO6 | PBE-GGA | relaxed

Cell: 5.3230 5.3230 5.1940 Å, 90.00 90.00 120.00°
Fractional coordinates of all 9 atoms:
La 0.0000 0.0000 0.0000
Sc 0.6667 0.3333 0.5000
Rh 0.3333 0.6667 0.5000
O 0.0205 0.3725 0.2861
O 0.0205 0.6480 0.7139
O 0.3520 0.3725 0.7139
O 0.3520 0.9795 0.2861
O 0.6275 0.6480 0.2861
O 0.6275 0.9795 0.7139

Results
- E: -0.5494 Ry per atom
- Energy relative to the elements, uncorrected: -2.1012 eV per atom
- V: 127 Å³/cell
- DOS(E_F): 2.24 states/eV/f.u.

Pr5Sb2I | PBE-GGA | relaxed

Cell: 7.3790 7.3790 14.1216 Å, 90.00 90.00 129.44°
Fractional coordinates of all 16 atoms:
Pr 0.0516 0.9484 0.6129
Pr 0.0516 0.9484 0.8871
Pr 0.3387 0.6613 0.2500
Pr 0.3719 0.6281 0.5546
Pr 0.3719 0.6281 0.9454
Pr 0.6281 0.3719 0.0546
Pr 0.6281 0.3719 0.4454
Pr 0.6613 0.3387 0.7500
Pr 0.9484 0.0516 0.1129
Pr 0.9484 0.0516 0.3871
Sb 0.1814 0.8186 0.0795
Sb 0.1814 0.8186 0.4205
Sb 0.8186 0.1814 0.5795
Sb 0.8186 0.1814 0.9205
I 0.2456 0.7544 0.7500
I 0.7544 0.2456 0.2500

Results
- E: -0.3536 Ry per atom
- Energy relative to the elements, uncorrected: -0.5996 eV per atom
- V: 594 Å³/cell
- DOS(E_F): 6.73 states/eV/f.u.

LiLu2Hf | PBE-GGA | relaxed

Cell: 11.1397 11.1397 11.1397 Å, 17.03 17.03 17.03°
Fractional coordinates of all 4 atoms:
Li 0.0000 0.0000 0.0000
Lu 0.2455 0.2455 0.2455
Lu 0.7545 0.7545 0.7545
Hf 0.5000 0.5000 0.5000

Results
- E: -0.3752 Ry per atom
- V: 103 Å³/cell
- E above lowest polymorph: 34.0 meV/atom
- Calculated formation energy: 122 meV per atom
- DOS(E_F): 4.46 states/eV/f.u.

LiCu2SbO6 | PBE-GGA | relaxed

Cell: 6.7351 6.7351 5.4171 Å, 97.70 97.70 81.50°
Fractional coordinates of all 20 atoms:
Li 0.2119 0.7881 0.7500
Li 0.7881 0.2119 0.2500
Cu 0.1076 0.2685 0.8012
Cu 0.2685 0.1076 0.3012
Cu 0.7315 0.8924 0.6988
Cu 0.8924 0.7315 0.1988
Sb 0.4002 0.5998 0.2500
Sb 0.5998 0.4002 0.7500
O 0.0601 0.2330 0.1094
O 0.1377 0.6426 0.3830
O 0.2330 0.0601 0.6094
O 0.3226 0.4642 0.8919
O 0.3574 0.8623 0.1170
O 0.4642 0.3226 0.3919
O 0.5358 0.6774 0.6081
O 0.6426 0.1377 0.8830
O 0.6774 0.5358 0.1081
O 0.7670 0.9399 0.3906
O 0.8623 0.3574 0.6170
O 0.9399 0.7670 0.8906

Results
- E: -0.3851 Ry per atom
- Energy relative to the elements, uncorrected: -0.8418 eV per atom
- V: 239 Å³/cell
- DOS(E_F): 6.89 states/eV/f.u.

ScTi4Ga4 | PBE-GGA | relaxed

Cell: 7.8027 7.8027 5.1120 Å, 90.00 90.00 90.00°
Fractional coordinates of all 18 atoms:
Sc 0.2500 0.2500 0.2500
Sc 0.7500 0.7500 0.7500
Ti 0.0991 0.8127 0.6344
Ti 0.1873 0.5991 0.1344
Ti 0.3127 0.9009 0.1344
Ti 0.4009 0.6873 0.6344
Ti 0.5991 0.3127 0.3656
Ti 0.6873 0.0991 0.8656
Ti 0.8127 0.4009 0.8656
Ti 0.9009 0.1873 0.3656
Ga 0.0369 0.1325 0.8438
Ga 0.1325 0.4631 0.6562
Ga 0.3675 0.0369 0.6562
Ga 0.4631 0.3675 0.8438
Ga 0.5369 0.6325 0.1562
Ga 0.6325 0.9631 0.3438
Ga 0.8675 0.5369 0.3438
Ga 0.9631 0.8675 0.1562

Results
- E: -0.4268 Ry per atom
- V: 311 Å³/cell
- Calculated formation energy: -250 meV per atom
- DOS(E_F): 7.80 states/eV/f.u.

NdDy2RuO8 | PBE-GGA | relaxed

Cell: 5.0723 6.8643 5.0813 Å, 90.00 90.32 90.00°
Fractional coordinates of all 12 atoms:
Nd 0.0000 0.0000 0.0000
Dy 0.5000 0.2498 0.5000
Dy 0.5000 0.7502 0.5000
Ru 0.0000 0.5000 0.0000
O 0.1865 0.2962 0.1848
O 0.1865 0.7038 0.1848
O 0.2638 0.5000 0.7347
O 0.3151 0.0000 0.6837
O 0.6849 0.0000 0.3163
O 0.7362 0.5000 0.2653
O 0.8135 0.2962 0.8152
O 0.8135 0.7038 0.8152

Results
- E: -0.5585 Ry per atom
- Energy relative to the elements, uncorrected: -2.3565 eV per atom
- V: 177 Å³/cell
- DOS(E_F): 3.69 states/eV/f.u.

Ta2HgRu | PBE-GGA | relaxed

Cell: 4.0436 4.0436 4.2119 Å, 90.00 90.00 90.00°
Fractional coordinates of all 4 atoms:
Ta 0.0000 0.5000 0.0000
Ta 0.5000 0.0000 0.0000
Hg 0.0000 0.0000 0.5000
Ru 0.5000 0.5000 0.5000

Results
- E: -0.6022 Ry per atom
- V: 69 Å³/cell
- Calculated formation energy: 127 meV per atom
- DOS(E_F): 2.05 states/eV/f.u.

Sr6LiIn | PBE-GGA | relaxed

Cell: 11.1039 11.1039 11.1039 Å, 149.22 149.22 44.09°
Fractional coordinates of all 8 atoms:
Sr 0.0968 0.5968 0.5000
Sr 0.2498 0.2498 0.0000
Sr 0.4032 0.9032 0.5000
Sr 0.5968 0.0968 0.5000
Sr 0.7502 0.7502 0.0000
Sr 0.9032 0.4032 0.5000
Li 0.0000 0.0000 0.0000
In 0.5000 0.5000 0.0000

Results
- E: -0.1437 Ry per atom
- V: 358 Å³/cell
- Calculated formation energy: -113 meV per atom
- DOS(E_F): 9.00 states/eV/f.u.